Density functional theory data (GGA+U) for a geometry-optimized V3FeF structure.

As for the crystal system: cubic. Its distance to the lowest polymorph of the same formula is 612.8 meV/atom.

It has space group Pm-3m (No. 221), with a = 4.759 Å, b = 4.759 Å, c = 4.759 Å, α = 90.00°, β = 90.00° and γ = 90.00°. The inequivalent atoms are V at (0.000, 0.000, 0.500), Fe at (0.000, 0.000, 0.000) and F at (0.500, 0.500, 0.500).